No. 1
First-principles (PBE-GGA) data for a relaxed Er3MnS6 crystal, as listed in the Alexandria database.

Cell and atoms, written as extended XYZ:
```
10
Lattice="0.0210 -2.0605 6.3386 -0.0500 -6.5194 1.3852 5.9537 -2.9136 2.5374" Properties=species:S:1:pos:R:3 pbc="T T T"
Er 0.3473 -5.7232 5.1469
Er 5.6783 -5.7711 5.1137
Er 3.2817 -2.8895 2.5541
S 1.5020 -3.3350 4.6163
S 4.3915 -4.0110 6.6407
S 4.3561 -5.3181 2.8482
S 1.4575 -7.3859 3.3244
S 1.4915 -6.4794 7.4787
S 4.3514 -7.9489 5.8766
Mn 2.7662 -8.6050 7.7063
```

Values from the calculation:
Final energy, eV per atom: -6.365
Formation energy from raw total energies, meV/atom: -1603

No. 2
First-principles (PBE-GGA) data for a relaxed Pr5PuAs6 crystal, as listed in the Alexandria database.

Cell and atoms, written as extended XYZ:
```
12
Lattice="7.2813 -0.1134 -1.3732 -3.9341 6.1281 -1.3732 0.1425 0.2561 7.4061" Properties=species:S:1:pos:R:3 pbc="T T T"
As 2.6768 0.5172 1.1453
As 0.9222 1.6571 4.9196
As 0.8129 5.7536 3.5143
As -0.9714 2.5474 1.1453
As 2.5676 4.6137 -0.2599
As 4.4611 3.7234 3.5143
Pr 3.5373 1.9702 -1.3732
Pr -1.9758 5.2060 2.3298
Pr -0.1900 4.0445 -1.3732
Pr 5.4656 1.0648 2.3298
Pr 1.7449 3.1354 2.3298
Pu 0.0000 0.0000 0.0000
```

Values from the calculation:
Final energy, eV per atom: -6.919
Formation energy from the elements, eV per atom: -1.4086